RbReIr2: optimized geometry, GGA-PBE.

Cell and atoms, written as CIF:
```
data_RbReIr2
_cell_length_a 7.5709
_cell_length_b 7.5709
_cell_length_c 7.1983
_cell_angle_alpha 90.00
_cell_angle_beta 90.00
_cell_angle_gamma 90.00
_symmetry_space_group_name_H-M 'I -4 2 d'
_symmetry_Int_Tables_number 122
_symmetry_space_group_name_Hall 'I -4 2bw'
loop_
_atom_site_label
_atom_site_fract_x
_atom_site_fract_y
_atom_site_fract_z
_atom_site_occupancy
Rb1 0.0000 0.0000 0.0000 1
Re1 0.0000 0.0000 0.5000 1
Ir1 0.1526 0.2500 0.6250 1
```

## Properties
N(E_F) = 3.60 states/eV/f.u.
relative energy among the computed polymorphs = 0.0 kJ per mole of atoms
spin magnetization = 0.20 μB per atom